No. 1
Compound: Be2Zn2Pd
Source: the Alexandria database
Functional: PBE
Structure: relaxed

Cell lengths 6.6504, 6.6504, 2.7511 Å; angles 90.00, 90.00, 90.00 degrees
Closest atoms and distances in Å follow each position.
Element x y z (fractional)
Be (0.1657, 0.6657, 0.5000)  6 Zn 2.33-2.43
Zn (0.1338, 0.3662, 0.0000)  6 Be 2.33-2.43, 1 Zn 2.52, 2 Pd 2.59
Pd (0.0000, 0.0000, 0.0000)  4 Zn 2.59, 2 Pd 2.75, 8 Be 2.84
Zn (0.8662, 0.6338, 0.0000)  6 Be 2.33-2.43, 1 Zn 2.52, 2 Pd 2.59
Zn (0.6338, 0.1338, 0.0000)  6 Be 2.33-2.43, 1 Zn 2.52, 2 Pd 2.59
Zn (0.3662, 0.8662, 0.0000)  6 Be 2.33-2.43, 1 Zn 2.52, 2 Pd 2.59
Be (0.8343, 0.3343, 0.5000)  6 Zn 2.33-2.43
Be (0.6657, 0.8343, 0.5000)  6 Zn 2.33-2.43
Pd (0.5000, 0.5000, 0.0000)  4 Zn 2.59, 2 Pd 2.75, 8 Be 2.84
Be (0.3343, 0.1657, 0.5000)  6 Zn 2.33-2.43

* uncorrected energy: -15.219 eV/f.u.
* total magnetic moment: 0.000 μB per cell
* polymorph energy (0 for the lowest one): 0.095 eV/atom
* ΔE_f: -0.005 eV per atom


No. 2
Compound: PaCoGeC
Source: the Alexandria database
Functional: PBE
Structure: relaxed

Cell lengths 3.7539, 3.7539, 8.4763 Å; angles 90.00, 90.00, 90.00 degrees
Closest atoms and distances in Å follow each position.
Element x y z (fractional)
Co (0.0000, 0.0000, 0.5000)  4 Ge 2.29
Co (0.5000, 0.5000, 0.5000)  4 Ge 2.29
Pa (0.5000, 0.0000, 0.1586)  1 C 2.28
C (0.0000, 0.5000, 0.1104)  1 Ge 1.99
Ge (0.5000, 0.0000, 0.6547)  1 C 1.99
C (0.5000, 0.0000, 0.8896)  1 Ge 1.99
Ge (0.0000, 0.5000, 0.3453)  1 C 1.99
Pa (0.0000, 0.5000, 0.8414)  1 C 2.28

* uncorrected energy: -31.855 eV/f.u.
* total magnetic moment: 0.000 μB per cell
* ΔE_f: -0.353 eV per atom


No. 3
Compound: TcSbSeI2
Source: the Alexandria database
Functional: PBE
Structure: relaxed

Cell lengths 5.2950, 5.2950, 5.3051 Å; angles 90.00, 90.00, 90.00 degrees
Closest atoms and distances in Å follow each position.
Element x y z (fractional)
Se (0.5000, 0.5000, 0.5000)  4 Sb 3.74, 8 I 3.75
Sb (0.0000, 0.0000, 0.5000)  2 Tc 2.65
I (0.0000, 0.5000, 0.0000)  2 Tc 2.65
I (0.5000, 0.0000, 0.0000)  2 Tc 2.65
Tc (0.0000, 0.0000, 0.0000)  4 I 2.65, 2 Sb 2.65

* uncorrected energy: -17.939 eV/f.u.
* uncorrected formation energy: 0.627 eV/atom
* total magnetic moment: 0.910 μB per cell
* polymorph energy (0 for the lowest one): 0.000 eV/atom


No. 4
Compound: SnBiSe2Br
Source: the Alexandria database
Functional: PBE
Structure: relaxed

Cell lengths 4.1375, 11.1923, 11.9865 Å; angles 136.16, 90.00, 90.00 degrees
Closest atoms and distances in Å follow each position.
Element x y z (fractional)
Se (0.7500, 0.6309, 0.2097)  3 Bi 2.89-2.95, 1 Sn 3.06
Sn (0.7500, 0.6447, 0.4739)  4 Se 2.79-3.06
Br (0.2500, 0.9070, 0.1426)  2 Bi 2.99
Br (0.7500, 0.0930, 0.8574)  2 Bi 2.99
Bi (0.7500, 0.6296, 0.9624)  4 Se 2.89-3.00, 2 Br 2.99
Se (0.7500, 0.5975, 0.6917)  3 Sn 2.79-3.01, 1 Bi 3.00
Se (0.2500, 0.3691, 0.7903)  3 Bi 2.89-2.95, 1 Sn 3.06
Sn (0.2500, 0.3553, 0.5261)  4 Se 2.79-3.06
Bi (0.2500, 0.3704, 0.0376)  4 Se 2.89-3.00, 2 Br 2.99
Se (0.2500, 0.4025, 0.3083)  3 Sn 2.79-3.01, 1 Bi 3.00

* uncorrected energy: -18.933 eV/f.u.
* uncorrected formation energy: -0.482 eV/atom
* total magnetic moment: 0.000 μB per cell
* polymorph energy (0 for the lowest one): 0.000 eV/atom


No. 5
Compound: AsPtBr
Source: the Alexandria database
Functional: PBE
Structure: relaxed

Cell lengths 4.5826, 4.5826, 4.5826 Å; angles 60.00, 60.00, 60.00 degrees
Closest atoms and distances in Å follow each position.
Element x y z (fractional)
Pt (0.5000, 0.5000, 0.5000)  4 As 2.81
As (0.7500, 0.7500, 0.7500)  4 Br 2.81, 4 Pt 2.81
Br (0.0000, 0.0000, 0.0000)  4 As 2.81

* uncorrected energy: -10.631 eV/f.u.
* uncorrected formation energy: 0.577 eV/atom
* total magnetic moment: 0.000 μB per cell
* polymorph energy (0 for the lowest one): 0.867 eV/atom


No. 6
Compound: NaGa3Ag
Source: the Alexandria database
Functional: PBE
Structure: relaxed

Cell lengths 6.4868, 8.9234, 8.7326 Å; angles 120.73, 102.76, 90.00 degrees
Closest atoms and distances in Å follow each position.
Element x y z (fractional)
Ga (0.0555, 0.0416, 0.3671)  1 Ag 2.64, 4 Ga 2.73-2.85
Na (0.7500, 0.0065, 0.0000)  2 Ag 3.04, 4 Ga 3.24-3.38, 3 Na 3.25-3.35
Ga (0.6352, 0.0160, 0.3638)  1 Ag 2.71, 5 Ga 2.73-2.99
Ga (0.5555, 0.3255, 0.3671)  1 Ag 2.64, 4 Ga 2.73-2.85
Ga (0.3648, 0.9840, 0.6362)  1 Ag 2.71, 5 Ga 2.73-2.99
Ag (0.2279, 0.5960, 0.8107)  4 Ga 2.64-2.71, 1 Ag 2.78
Ga (0.9445, 0.9584, 0.6329)  1 Ag 2.64, 4 Ga 2.73-2.85
Ag (0.7721, 0.4040, 0.1893)  4 Ga 2.64-2.71, 1 Ag 2.78
Ga (0.5946, 0.6976, 0.3654)  2 Ag 2.68-2.69, 4 Ga 2.82-2.86
Ga (0.0946, 0.6678, 0.3654)  2 Ag 2.68-2.69, 4 Ga 2.82-2.86
Ag (0.7279, 0.2148, 0.8107)  4 Ga 2.64-2.71, 1 Ag 2.78
Ga (0.1352, 0.3478, 0.3638)  1 Ag 2.71, 5 Ga 2.73-2.99
Na (0.2500, 0.9935, 0.0000)  2 Ag 3.04, 4 Ga 3.24-3.38, 3 Na 3.25-3.35
Na (0.2500, 0.3691, 0.0000)  4 Ag 3.19-3.36, 6 Ga 3.32-3.51, 1 Na 3.35
Ga (0.9054, 0.3322, 0.6346)  2 Ag 2.68-2.69, 4 Ga 2.82-2.86
Ga (0.4445, 0.6745, 0.6329)  1 Ag 2.64, 4 Ga 2.73-2.85
Ag (0.2721, 0.7852, 0.1893)  4 Ga 2.64-2.71, 1 Ag 2.78
Ga (0.4054, 0.3024, 0.6346)  2 Ag 2.68-2.69, 4 Ga 2.82-2.86
Ga (0.8648, 0.6522, 0.6362)  1 Ag 2.71, 5 Ga 2.73-2.99
Na (0.7500, 0.6309, 0.0000)  4 Ag 3.19-3.36, 6 Ga 3.32-3.51, 1 Na 3.35

* uncorrected energy: -13.450 eV/f.u.
* total magnetic moment: 0.000 μB per cell
* polymorph energy (0 for the lowest one): 0.051 eV/atom
* ΔE_f: -0.040 eV per atom


Q: The highest total magnetic moment belongs to which entry?
A: TcSbSeI2